[1]
A relaxed structure of InNiRh2S2. Source: the Alexandria database, functional PBE.

Geometry as CIF:
```
data_InNiRh2S2
_chemical_formula_sum 'In1 Ni1 Rh2 S2'
_symmetry_space_group_name_H-M 'P 1'
_symmetry_Int_Tables_number 1
_symmetry_space_group_name_Hall 'P 1'
_cell_length_a 11.4253
_cell_length_b 11.4253
_cell_length_c 11.4253
_cell_angle_alpha 16.42
_cell_angle_beta 16.42
_cell_angle_gamma 16.42
loop_
_atom_site_label
_atom_site_fract_x
_atom_site_fract_y
_atom_site_fract_z
_atom_site_occupancy
In1 0.0000 0.0000 0.0000 1
Ni1 0.5000 0.5000 0.5000 1
Rh1 0.2667 0.2667 0.2667 1
Rh2 0.7333 0.7333 0.7333 1
S1 0.4379 0.4379 0.4379 1
S2 0.5621 0.5621 0.5621 1
```

Values from the calculation:
The calculation puts the raw formation energy at -0.18 eV/atom.



[2]
A relaxed structure of Sc5In2NiRh2. Source: the Alexandria database, functional PBE.

Geometry as CIF:
```
data_Sc5In2NiRh2
_chemical_formula_sum 'Sc10 In4 Ni2 Rh4'
_symmetry_space_group_name_H-M 'P 1'
_symmetry_Int_Tables_number 1
_symmetry_space_group_name_Hall 'P 1'
_cell_length_a 10.9555
_cell_length_b 10.9555
_cell_length_c 3.3390
_cell_angle_alpha 90.00
_cell_angle_beta 90.00
_cell_angle_gamma 90.00
loop_
_atom_site_label
_atom_site_fract_x
_atom_site_fract_y
_atom_site_fract_z
_atom_site_occupancy
Sc1 0.0000 0.5000 0.0000 1
Sc2 0.0689 0.1922 0.0000 1
Sc3 0.1922 0.9311 0.0000 1
Sc4 0.3078 0.4311 0.0000 1
Sc5 0.4311 0.6922 0.0000 1
Sc6 0.5000 0.0000 0.0000 1
Sc7 0.5689 0.3078 0.0000 1
Sc8 0.6922 0.5689 0.0000 1
Sc9 0.8078 0.0689 0.0000 1
Sc10 0.9311 0.8078 0.0000 1
In1 0.1728 0.6728 0.5000 1
In2 0.3272 0.1728 0.5000 1
In3 0.6728 0.8272 0.5000 1
In4 0.8272 0.3272 0.5000 1
Ni1 0.0000 0.0000 0.5000 1
Ni2 0.5000 0.5000 0.5000 1
Rh1 0.1348 0.3652 0.5000 1
Rh2 0.3652 0.8652 0.5000 1
Rh3 0.6348 0.1348 0.5000 1
Rh4 0.8652 0.6348 0.5000 1
```

Values from the calculation:
The formation energy is -595 meV per atom.